No. 1
This record from Alexandria describes a relaxed structure of Nd2GaSi. The functional is PBE-GGA.

N(E_F): 0.52 states/eV per atom
uncorrected formation energy: -1.989 eV per formula unit
space group: P4/mmm (123)

Cell: 4.8949 4.8949 4.0868 Å, 90.00 90.00 90.00°
Positions (direct):
1 Nd 0.0000 0.5000 0.0000
2 Nd 0.5000 0.0000 0.0000
3 Ga 0.0000 0.0000 0.5000
4 Si 0.5000 0.5000 0.5000

=====

No. 2
This record from Alexandria describes a relaxed structure of ZrMnTc2C. The functional is PBE-GGA.

N(E_F): 0.65 states/eV per atom
ΔE_f: -0.1977 eV per atom
space group: P4/mmm (123)

Cell: 4.2115 4.2115 3.8734 Å, 90.00 90.00 90.00°
Positions (direct):
1 Zr 0.0000 0.0000 0.0000
2 Mn 0.5000 0.5000 0.0000
3 Tc 0.0000 0.5000 0.5000
4 Tc 0.5000 0.0000 0.5000
5 C 0.5000 0.5000 0.5000

=====

No. 3
This record from Alexandria describes a relaxed structure of Cs2NaCd2Br6. The functional is PBE-GGA.

N(E_F): 0.29 states/eV per atom
uncorrected formation energy: -13.125 eV per formula unit
space group: R-3m (166)

Cell: 9.3601 9.3601 9.3601 Å, 52.59 52.59 52.59°
Positions (direct):
1 Cs 0.2151 0.2151 0.2151
2 Cs 0.7849 0.7849 0.7849
3 Na 0.0000 0.0000 0.0000
4 Cd 0.4412 0.4412 0.4412
5 Cd 0.5588 0.5588 0.5588
6 Br 0.2241 0.7625 0.7625
7 Br 0.2375 0.2375 0.7759
8 Br 0.2375 0.7759 0.2375
9 Br 0.7625 0.2241 0.7625
10 Br 0.7625 0.7625 0.2241
11 Br 0.7759 0.2375 0.2375

=====

No. 4
This record from Alexandria describes a relaxed structure of Li3PbAu3. The functional is PBE-GGA.

N(E_F): 0.30 states/eV per atom
polymorph energy (0 for the lowest one): 0.0 meV per atom
ΔE_f: -0.4009 eV per atom
space group: P2_13 (198)

Cell: 8.0640 8.0640 8.0640 Å, 90.00 90.00 90.00°
Positions (direct):
1 Li 0.1244 0.3756 0.6244
2 Li 0.1644 0.8356 0.3356
3 Li 0.2003 0.2003 0.2003
4 Li 0.2997 0.7997 0.7003
5 Li 0.3356 0.1644 0.8356
6 Li 0.3756 0.6244 0.1244
7 Li 0.6244 0.1244 0.3756
8 Li 0.6644 0.6644 0.6644
9 Li 0.7003 0.2997 0.7997
10 Li 0.7997 0.7003 0.2997
11 Li 0.8356 0.3356 0.1644
12 Li 0.8756 0.8756 0.8756
13 Pb 0.0499 0.5499 0.9501
14 Pb 0.4501 0.4501 0.4501
15 Pb 0.5499 0.9501 0.0499
16 Pb 0.9501 0.0499 0.5499
17 Au 0.0105 0.1914 0.9015
18 Au 0.0985 0.5105 0.3086
19 Au 0.1914 0.9015 0.0105
20 Au 0.3086 0.0985 0.5105
21 Au 0.4015 0.4895 0.8086
22 Au 0.4895 0.8086 0.4015
23 Au 0.5105 0.3086 0.0985
24 Au 0.5985 0.9895 0.6914
25 Au 0.6914 0.5985 0.9895
26 Au 0.8086 0.4015 0.4895
27 Au 0.9015 0.0105 0.1914
28 Au 0.9895 0.6914 0.5985

=====

No. 5
This record from Alexandria describes a relaxed structure of NdGaAu2. The functional is PBE-GGA.

N(E_F): 0.58 states/eV per atom
ΔE_f: -0.5514 eV per atom
space group: Pmmm (47)

Cell: 3.6601 4.4183 5.7552 Å, 90.00 90.00 90.00°
Positions (direct):
1 Nd 0.0000 0.0000 0.0000
2 Ga 0.5000 0.0000 0.5000
3 Au 0.5000 0.5000 0.2478
4 Au 0.5000 0.5000 0.7522

=====

No. 6
This record from Alexandria describes a relaxed structure of YFe2P. The functional is PBE-GGA.

N(E_F): 0.81 states/eV per atom
ΔE_f: -0.3496 eV per atom
space group: Pm (6)

Cell: 3.4976 3.6650 5.5142 Å, 90.00 105.90 90.00°
Positions (direct):
1 Y 0.0000 0.0000 0.0000
2 Fe 0.3009 0.0000 0.5210
3 Fe 0.7682 0.5000 0.4614
4 P 0.4022 0.5000 0.7755

=====

No. 7
This record from Alexandria describes a relaxed structure of NaIn5Hg4. The functional is PBE-GGA.

N(E_F): 0.33 states/eV per atom
polymorph energy (0 for the lowest one): 0.0 meV per atom
ΔE_f: -0.0355 eV per atom
space group: P-1 (2)

Cell: 3.3544 5.6610 14.2043 Å, 92.30 92.16 97.61°
Positions (direct):
1 Na 0.0000 0.0000 0.0000
2 In 0.0178 0.5350 0.3040
3 In 0.4748 0.5173 0.1090
4 In 0.5000 0.5000 0.5000
5 In 0.5252 0.4827 0.8910
6 In 0.9822 0.4650 0.6960
7 Hg 0.1240 0.9739 0.6031
8 Hg 0.4787 0.9711 0.8078
9 Hg 0.5213 0.0289 0.1922
10 Hg 0.8760 0.0261 0.3969

=====

No. 8
This record from Alexandria describes a relaxed structure of Cu2TeCl. The functional is PBE-GGA.

N(E_F): 0.21 states/eV per atom
polymorph energy (0 for the lowest one): 173.0 meV per atom
uncorrected formation energy: -0.211 eV per formula unit
space group: R3m (160)

Cell: 7.1017 7.1017 7.1017 Å, 30.04 30.04 30.04°
Positions (direct):
1 Cu 0.0000 0.0000 0.0000
2 Cu 0.1728 0.1728 0.1728
3 Te 0.5825 0.5825 0.5825
4 Cl 0.4048 0.4048 0.4048

=====

no.,E (eV per atom)
1,-4.994
2,-9.732
3,-2.547
4,-3.155
5,-4.139
6,-7.549
7,-1.657
8,-3.348